1.
# PBE Pr3Nd2Dy6Pu, optimized geometry
# - M_tot (μB per formula unit) = 6.46
# - calculated total energy (eV for the cell shown) = -130.6
# - energy of formation from the pure elements (eV/atom) = 0.0446
data_Pr3Nd2Dy6Pu
_chemical_formula_sum 'Pr6 Nd4 Dy12 Pu2'
_cell_length_a 6.245
_cell_length_b 10.825
_cell_length_c 11.807
_cell_angle_alpha 90.00
_cell_angle_beta 100.18
_cell_angle_gamma 90.00
_space_group_name_H-M_alt 'C 1 2/m 1'
_space_group_IT_number 12
_space_group_name_Hall '-C 2y'
loop_
_atom_site_label
_atom_site_fract_x
_atom_site_fract_y
_atom_site_fract_z
Pr1 0.000 0.000 0.000
Pr2 0.000 0.333 0.000
Nd1 0.000 0.167 0.500
Dy1 0.246 0.336 0.746
Dy2 0.247 0.500 0.254
Pu1 0.000 0.500 0.500


2.
# PBE AcNd3Zn4, optimized geometry
# - M_tot (μB per formula unit) = 0.00
# - calculated total energy (eV for the cell shown) = -25.8
# - energy of formation from the pure elements (eV/atom) = -0.2807
data_AcNd3Zn4
_chemical_formula_sum 'Ac1 Nd3 Zn4'
_cell_length_a 5.284
_cell_length_b 5.284
_cell_length_c 7.513
_cell_angle_alpha 90.00
_cell_angle_beta 90.00
_cell_angle_gamma 90.00
_space_group_name_H-M_alt 'P 4/m m m'
_space_group_IT_number 123
_space_group_name_Hall '-P 4 2'
loop_
_atom_site_label
_atom_site_fract_x
_atom_site_fract_y
_atom_site_fract_z
Ac1 0.000 0.000 0.000
Nd1 0.000 0.000 0.500
Nd2 0.500 0.500 0.000
Nd3 0.500 0.500 0.500
Zn1 0.000 0.500 0.262


3.
# PBE Tb3Tm4Sb4, optimized geometry
# - M_tot (μB per formula unit) = 0.00
# - formation energy from raw total energies (eV/atom) = -0.745
# - calculated total energy (eV for the cell shown) = -112.9
data_Tb3Tm4Sb4
_chemical_formula_sum 'Tb6 Tm8 Sb8'
_cell_length_a 4.074
_cell_length_b 9.138
_cell_length_c 16.874
_cell_angle_alpha 90.00
_cell_angle_beta 90.00
_cell_angle_gamma 90.00
_space_group_name_H-M_alt 'I m m m'
_space_group_IT_number 71
_space_group_name_Hall '-I 2 2'
loop_
_atom_site_label
_atom_site_fract_x
_atom_site_fract_y
_atom_site_fract_z
Tb1 0.000 0.000 0.000
Tb2 0.000 0.500 0.103
Tm1 0.000 0.312 0.330
Sb1 0.000 0.000 0.259
Sb2 0.000 0.206 0.500


4.
# PBE Pm6Y2Sc3, optimized geometry
# - M_tot (μB per formula unit) = 0.00
# - calculated total energy (eV for the cell shown) = -59.7
# - energy of formation from the pure elements (eV/atom) = 0.0650
data_Pm6Y2Sc3
_chemical_formula_sum 'Pm6 Y2 Sc3'
_cell_length_a 6.250
_cell_length_b 7.132
_cell_length_c 8.305
_cell_angle_alpha 104.40
_cell_angle_beta 105.83
_cell_angle_gamma 91.27
_space_group_name_H-M_alt 'P -1'
_space_group_IT_number 2
_space_group_name_Hall '-P 1'
loop_
_atom_site_label
_atom_site_fract_x
_atom_site_fract_y
_atom_site_fract_z
Pm1 0.030 0.320 0.326
Pm2 0.172 0.163 0.719
Pm3 0.281 0.950 0.098
Y1 0.396 0.747 0.471
Sc1 0.000 0.500 0.000
Sc2 0.496 0.403 0.147


5.
# PBE DySiOs2C, optimized geometry
# - M_tot (μB per formula unit) = 0.00
# - formation energy from raw total energies (eV/atom) = -0.516
# - calculated total energy (eV for the cell shown) = -177.2
data_DySiOs2C
_chemical_formula_sum 'Dy4 Si4 Os8 C4'
_cell_length_a 3.872
_cell_length_b 11.130
_cell_length_c 7.132
_cell_angle_alpha 90.00
_cell_angle_beta 90.00
_cell_angle_gamma 90.00
_space_group_name_H-M_alt 'C m c m'
_space_group_IT_number 63
_space_group_name_Hall '-C 2c 2'
loop_
_atom_site_label
_atom_site_fract_x
_atom_site_fract_y
_atom_site_fract_z
Dy1 0.000 0.047 0.250
Si1 0.000 0.231 0.750
Os1 0.000 0.335 0.058
C1 0.000 0.500 0.000


6.
# PBE Zr2ScAl, optimized geometry
# - M_tot (μB per formula unit) = 0.00
# - calculated total energy (eV for the cell shown) = -55.9
# - energy of formation from the pure elements (eV/atom) = -0.1982
data_Zr2ScAl
_chemical_formula_sum 'Zr4 Sc2 Al2'
_cell_length_a 11.179
_cell_length_b 3.221
_cell_length_c 5.335
_cell_angle_alpha 90.00
_cell_angle_beta 116.28
_cell_angle_gamma 90.00
_space_group_name_H-M_alt 'C 1 m 1'
_space_group_IT_number 8
_space_group_name_Hall 'C -2y'
loop_
_atom_site_label
_atom_site_fract_x
_atom_site_fract_y
_atom_site_fract_z
Zr1 0.000 0.000 0.000
Zr2 0.238 0.000 0.862
Sc1 0.473 0.000 0.472
Al1 0.232 0.500 0.387


7.
# PBE Y3BiSb, optimized geometry
# - energy above the most stable polymorph in this dataset (eV/atom) = 0.000
# - M_tot (μB per formula unit) = 0.00
# - formation energy from raw total energies (eV/atom) = -0.790
# - calculated total energy (eV for the cell shown) = -125.4
data_Y3BiSb
_chemical_formula_sum 'Y12 Bi4 Sb4'
_cell_length_a 23.094
_cell_length_b 4.314
_cell_length_c 6.342
_cell_angle_alpha 90.00
_cell_angle_beta 105.88
_cell_angle_gamma 90.00
_space_group_name_H-M_alt 'C 1 2/m 1'
_space_group_IT_number 12
_space_group_name_Hall '-C 2y'
loop_
_atom_site_label
_atom_site_fract_x
_atom_site_fract_y
_atom_site_fract_z
Y1 0.000 0.000 0.243
Y2 0.108 0.500 0.608
Y3 0.191 0.000 0.190
Bi1 0.207 0.000 0.706
Sb1 0.087 0.500 0.087


8.
# PBE GaAsCl3, optimized geometry
# - M_tot (μB per formula unit) = 0.00
# - formation energy from raw total energies (eV/atom) = -0.375
# - calculated total energy (eV for the cell shown) = -15.1
data_GaAsCl3
_chemical_formula_sum 'Ga1 As1 Cl3'
_cell_length_a 5.166
_cell_length_b 5.166
_cell_length_c 5.166
_cell_angle_alpha 90.00
_cell_angle_beta 90.00
_cell_angle_gamma 90.00
_space_group_name_H-M_alt 'P m -3 m'
_space_group_IT_number 221
_space_group_name_Hall '-P 4 2 3'
loop_
_atom_site_label
_atom_site_fract_x
_atom_site_fract_y
_atom_site_fract_z
Ga1 0.000 0.000 0.000
As1 0.500 0.500 0.500
Cl1 0.000 0.500 0.500


9.
# PBE Pr2HoAl12Co3, optimized geometry
# - M_tot (μB per formula unit) = 0.00
# - calculated total energy (eV for the cell shown) = -241.0
# - energy of formation from the pure elements (eV/atom) = 0.0017
data_Pr2HoAl12Co3
_chemical_formula_sum 'Pr6 Ho3 Al36 Co9'
_cell_length_a 8.4290
_cell_length_b 8.4290
_cell_length_c 18.9031
_cell_angle_alpha 90.00
_cell_angle_beta 90.00
_cell_angle_gamma 120.00
_space_group_name_H-M_alt 'R -3 m'
_space_group_IT_number 166
_space_group_name_Hall '-R 3 2"'
loop_
_atom_site_label
_atom_site_fract_x
_atom_site_fract_y
_atom_site_fract_z
Pr1 0.0000 0.0000 0.0854
Ho1 0.0000 0.0000 0.5000
Al1 0.0838 0.5419 0.3188
Al2 0.0874 0.5437 0.8837
Co1 0.0000 0.5000 0.0000


10.
# PBE SmZnCo2H8, optimized geometry
# - M_tot (μB per formula unit) = 0.00
# - calculated total energy (eV for the cell shown) = -145.9
data_SmZnCo2H8
_chemical_formula_sum 'Sm3 Zn3 Co6 H24'
_cell_length_a 4.4724
_cell_length_b 4.4724
_cell_length_c 16.1600
_cell_angle_alpha 90.00
_cell_angle_beta 90.00
_cell_angle_gamma 120.00
_space_group_name_H-M_alt 'R -3'
_space_group_IT_number 148
_space_group_name_Hall '-R 3'
loop_
_atom_site_label
_atom_site_fract_x
_atom_site_fract_y
_atom_site_fract_z
Sm1 0.0000 0.0000 0.0000
Zn1 0.0000 0.0000 0.5000
Co1 0.0000 0.0000 0.1975
H1 0.0000 0.0000 0.2984
H2 0.0222 0.7422 0.8805


11.
# PBE Pm2Ho3Er6Sc, optimized geometry
# - M_tot (μB per formula unit) = 0.00
# - calculated total energy (eV for the cell shown) = -113.2
# - energy of formation from the pure elements (eV/atom) = 0.0271
data_Pm2Ho3Er6Sc
_chemical_formula_sum 'Pm4 Ho6 Er12 Sc2'
_cell_length_a 6.084
_cell_length_b 10.531
_cell_length_c 11.661
_cell_angle_alpha 90.00
_cell_angle_beta 99.98
_cell_angle_gamma 90.00
_space_group_name_H-M_alt 'C 1 2/m 1'
_space_group_IT_number 12
_space_group_name_Hall '-C 2y'
loop_
_atom_site_label
_atom_site_fract_x
_atom_site_fract_y
_atom_site_fract_z
Pm1 0.000 0.166 0.000
Ho1 0.000 0.000 0.500
Ho2 0.000 0.334 0.500
Er1 0.247 0.500 0.750
Er2 0.249 0.335 0.250
Sc1 0.000 0.500 0.000


12.
# PBE Zn2Cu4Ir, optimized geometry
# - M_tot (μB per formula unit) = 0.00
# - calculated total energy (eV for the cell shown) = -27.5
# - energy of formation from the pure elements (eV/atom) = 0.0459
data_Zn2Cu4Ir
_chemical_formula_sum 'Zn2 Cu4 Ir1'
_cell_length_a 4.413
_cell_length_b 4.506
_cell_length_c 5.286
_cell_angle_alpha 96.88
_cell_angle_beta 99.49
_cell_angle_gamma 111.30
_space_group_name_H-M_alt 'P 1'
_space_group_IT_number 1
_space_group_name_Hall 'P 1'
loop_
_atom_site_label
_atom_site_fract_x
_atom_site_fract_y
_atom_site_fract_z
Zn1 0.000 0.000 0.000
Zn2 0.056 0.299 0.620
Cu1 0.346 0.671 0.111
Cu2 0.485 0.235 0.374
Cu3 0.521 0.792 0.621
Cu4 0.948 0.731 0.381
Ir1 0.642 0.353 0.901